The following is a DFT calculation (PBE) of a relaxed U2HRh crystal.

Structure (extended XYZ):
```
4
Lattice="2.953 0.000 0.000 1.476 2.557 0.000 1.476 0.852 8.244" Properties=species:S:1:pos:R:3 pbc="T T T"
Rh 0.000 0.000 0.000
U 1.476 0.852 5.678
H 2.953 1.705 4.122
U 4.429 2.557 2.565
```

Results
- DFT total energy (eV/atom) = -8.24